No. 1
The following is a DFT calculation (PBE) of an optimized crystal structure of Ca4Pt.

```
Ca4Pt
1.0
9.516 0.000 0.000
0.000 9.516 0.000
4.758 4.758 1.823
Ca Pt
4 1
direct
0.747 0.562 0.000 Ca
0.562 0.253 0.000 Ca
0.253 0.438 0.000 Ca
0.438 0.747 0.000 Ca
0.000 0.000 0.000 Pt
```

Values from the calculation:
excess energy over the best structure of this formula in the dataset	0.052	eV per atom
calculated formation energy	-0.420	eV/atom
space group	No. 87
crystal system	tetragonal

=====

No. 2
The following is a DFT calculation (PBE) of an optimized crystal structure of AcLu2Pb.

```
AcLu2Pb
1.0
-3.110 -2.104 3.240
0.016 -4.224 -2.728
3.917 -1.700 2.656
Pb Ac Lu
1 1 2
direct
0.500 0.000 0.000 Pb
0.500 0.500 0.500 Ac
0.000 0.000 0.500 Lu
0.000 0.500 0.000 Lu
```

Values from the calculation:
excess energy over the best structure of this formula in the dataset	0.000	eV per atom
calculated formation energy	-0.165	eV/atom
space group	No. 123
crystal system	tetragonal

=====

No. 3
The following is a DFT calculation (PBE) of an optimized crystal structure of SnSb2SeI.

```
SnSb2SeI
1.0
5.459 0.000 0.000
0.000 5.459 0.000
0.000 0.000 5.755
I Sb Sn Se
1 2 1 1
direct
0.000 0.000 0.500 I
0.000 0.500 0.000 Sb
0.500 0.000 0.000 Sb
0.500 0.500 0.500 Sn
0.000 0.000 0.000 Se
```

Values from the calculation:
excess energy over the best structure of this formula in the dataset	0.001	eV per atom
energy relative to the elements, uncorrected	12.41	kcal/mol of atoms
space group	No. 123
crystal system	tetragonal

=====

No. 4
The following is a DFT calculation (PBE) of an optimized crystal structure of TmIn2PbSe4.

```
TmIn2PbSe4
1.0
-2.498 3.290 -0.401
-5.577 -3.830 3.314
0.404 1.217 7.463
Tm In Pb Se
1 2 1 4
direct
0.000 0.500 0.500 Tm
0.000 0.000 0.000 In
0.500 0.000 0.500 In
0.500 0.500 0.000 Pb
0.000 0.744 0.725 Se
0.000 0.256 0.275 Se
0.500 0.724 0.283 Se
0.500 0.276 0.717 Se
```

Values from the calculation:
energy relative to the elements, uncorrected	-19.70	kcal/mol of atoms
space group	No. 10
crystal system	monoclinic

=====

No. 5
The following is a DFT calculation (PBE) of an optimized crystal structure of SrY2P.

```
SrY2P
1.0
-1.854 2.836 5.842
1.854 -2.836 5.842
1.854 2.836 -5.842
Sr Y P
1 2 1
direct
0.000 0.500 0.500 Sr
0.681 0.681 0.000 Y
0.319 0.319 0.000 Y
0.500 0.000 0.500 P
```

Values from the calculation:
calculated formation energy	-0.558	eV/atom
space group	No. 71
crystal system	orthorhombic

=====

No. 6
The following is a DFT calculation (PBE) of an optimized crystal structure of VCrSiAu.

```
VCrSiAu
1.0
-3.293 -1.921 2.816
1.876 -1.976 0.845
2.492 3.278 2.132
Cr Si Au V
1 1 1 1
direct
0.563 0.000 0.598 Cr
0.063 0.500 0.598 Si
0.562 0.500 0.098 Au
0.063 0.000 0.099 V
```

Values from the calculation:
excess energy over the best structure of this formula in the dataset	0.081	eV per atom
energy relative to the elements, uncorrected	0.47	kcal/mol of atoms
space group	No. 10
crystal system	monoclinic

=====

No. 7
The following is a DFT calculation (PBE) of an optimized crystal structure of CaBeAs2.

```
CaBeAs2
1.0
3.651 0.000 0.000
0.000 3.651 0.000
0.000 0.000 6.225
Be As Ca
1 2 1
direct
0.000 0.000 0.367 Be
0.000 0.000 0.016 As
0.500 0.500 0.325 As
0.500 0.500 0.792 Ca
```

Values from the calculation:
calculated formation energy	-0.059	eV/atom
space group	No. 99
crystal system	tetragonal

=====

No. 8
The following is a DFT calculation (PBE) of an optimized crystal structure of CePbS.

```
CePbS
1.0
3.941 0.000 0.000
0.000 3.941 0.000
0.000 0.000 10.346
Pb Ce S
2 2 2
direct
0.000 0.500 0.591 Pb
0.500 0.000 0.409 Pb
0.000 0.500 0.165 Ce
0.500 0.000 0.835 Ce
0.500 0.000 0.112 S
0.000 0.500 0.888 S
```

Values from the calculation:
energy relative to the elements, uncorrected	-26.78	kcal/mol of atoms
space group	No. 129
crystal system	tetragonal

=====

No. 9
The following is a DFT calculation (PBE) of an optimized crystal structure of LaMgCl.

```
LaMgCl
1.0
-2.147 -1.837 2.395
-0.668 -0.224 -3.636
9.227 -12.026 -0.954
Mg La Cl
2 2 2
direct
0.336 0.672 0.000 Mg
0.332 0.665 0.500 Mg
0.666 0.332 0.319 La
0.666 0.332 0.681 La
0.333 0.666 0.816 Cl
0.333 0.666 0.184 Cl
```

Values from the calculation:
excess energy over the best structure of this formula in the dataset	0.169	eV per atom
energy relative to the elements, uncorrected	-19.18	kcal/mol of atoms
space group	No. 38
crystal system	orthorhombic

=====

No. 10
The following is a DFT calculation (PBE) of an optimized crystal structure of CaLa2DySb4.

```
CaLa2DySb4
1.0
-3.728 1.286 -2.305
-3.592 -6.519 2.174
-3.834 1.201 6.871
Ca La Dy Sb
1 2 1 4
direct
0.500 0.500 0.000 Ca
0.000 0.000 0.000 La
0.500 0.000 0.500 La
0.000 0.500 0.500 Dy
0.000 0.742 0.747 Sb
0.000 0.258 0.253 Sb
0.500 0.739 0.258 Sb
0.500 0.261 0.742 Sb
```

Values from the calculation:
energy relative to the elements, uncorrected	-25.15	kcal/mol of atoms
space group	No. 10
crystal system	monoclinic

=====

No. 11
The following is a DFT calculation (PBE) of an optimized crystal structure of YAgPt.

```
YAgPt
1.0
4.605 0.000 0.000
-2.302 4.798 0.000
0.000 0.000 5.650
Y Ag Pt
2 2 2
direct
0.195 0.390 0.750 Y
0.805 0.610 0.250 Y
0.500 0.000 0.500 Ag
0.500 0.000 0.000 Ag
0.118 0.235 0.250 Pt
0.882 0.765 0.750 Pt
```

Values from the calculation:
excess energy over the best structure of this formula in the dataset	0.000	eV per atom
calculated formation energy	-0.826	eV/atom
space group	No. 63
crystal system	orthorhombic

=====

No. 12
The following is a DFT calculation (PBE) of an optimized crystal structure of Cs2ErInSe4.

```
Cs2ErInSe4
1.0
-1.166 3.591 8.200
-8.655 -2.556 -0.231
6.377 -6.055 -1.249
Cs Er In Se
4 2 2 8
direct
0.500 0.000 0.000 Cs
0.500 0.000 0.500 Cs
0.000 0.000 0.500 Cs
0.500 0.500 0.000 Cs
0.000 0.500 0.000 Er
0.000 0.500 0.500 Er
0.500 0.500 0.500 In
0.000 0.000 0.000 In
0.188 0.726 0.957 Se
0.774 0.312 0.543 Se
0.226 0.688 0.457 Se
0.812 0.274 0.043 Se
0.771 0.729 0.955 Se
0.771 0.729 0.545 Se
0.229 0.271 0.455 Se
0.229 0.271 0.045 Se
```

Values from the calculation:
energy relative to the elements, uncorrected	-26.26	kcal/mol of atoms
space group	No. 74
crystal system	orthorhombic